# PBE TaAg2Mo, optimized geometry
# * energy above the most stable polymorph in this dataset: 1.03 eV per formula unit
# * crystal system: orthorhombic
# * formation energy from the elements: 447.8 meV per atom
data_TaAg2Mo
_cell_length_a 2.748
_cell_length_b 4.567
_cell_length_c 5.432
_cell_angle_alpha 90.00
_cell_angle_beta 90.00
_cell_angle_gamma 90.00
_symmetry_space_group_name_H-M 'P m m m'
_symmetry_Int_Tables_number 47
_symmetry_space_group_name_Hall '-P 2 2'
loop_
_atom_site_label
_atom_site_fract_x
_atom_site_fract_y
_atom_site_fract_z
Ta1 0.000 0.000 0.000
Ag1 0.500 0.500 0.252
Mo1 0.000 0.000 0.500

=====

# PBE TaAgMo, optimized geometry
# * energy above the most stable polymorph in this dataset: 0.00 eV per formula unit
# * crystal system: orthorhombic
# * formation energy from the elements: 227.3 meV per atom
data_TaAgMo
_cell_length_a 3.322
_cell_length_b 4.406
_cell_length_c 14.051
_cell_angle_alpha 90.00
_cell_angle_beta 90.00
_cell_angle_gamma 90.00
_symmetry_space_group_name_H-M 'F m m 2'
_symmetry_Int_Tables_number 42
_symmetry_space_group_name_Hall 'F 2 -2'
loop_
_atom_site_label
_atom_site_fract_x
_atom_site_fract_y
_atom_site_fract_z
Ta1 0.000 0.000 0.000
Ag1 0.000 0.000 0.671
Mo1 0.000 0.000 0.340

=====

# PBE TaAg2Mo, optimized geometry
# * energy above the most stable polymorph in this dataset: 0.79 eV per formula unit
# * crystal system: orthorhombic
# * formation energy from the elements: 389.5 meV per atom
data_TaAg2Mo
_cell_length_a 3.279
_cell_length_b 4.310
_cell_length_c 4.853
_cell_angle_alpha 90.00
_cell_angle_beta 90.00
_cell_angle_gamma 90.00
_symmetry_space_group_name_H-M 'P m m m'
_symmetry_Int_Tables_number 47
_symmetry_space_group_name_Hall '-P 2 2'
loop_
_atom_site_label
_atom_site_fract_x
_atom_site_fract_y
_atom_site_fract_z
Ta1 0.000 0.000 0.000
Ag1 0.000 0.500 0.500
Ag2 0.500 0.000 0.500
Mo1 0.500 0.500 0.000

=====

# PBE Ta2AgMo2, optimized geometry
# * energy above the most stable polymorph in this dataset: 1.63 eV per formula unit
# * crystal system: tetragonal
# * formation energy from the elements: 850.8 meV per atom
data_Ta2AgMo2
_cell_length_a 3.664
_cell_length_b 3.664
_cell_length_c 13.955
_cell_angle_alpha 90.00
_cell_angle_beta 90.00
_cell_angle_gamma 90.00
_symmetry_space_group_name_H-M 'I 4/m m m'
_symmetry_Int_Tables_number 139
_symmetry_space_group_name_Hall '-I 4 2'
loop_
_atom_site_label
_atom_site_fract_x
_atom_site_fract_y
_atom_site_fract_z
Ta1 0.000 0.000 0.096
Ag1 0.000 0.000 0.500
Mo1 0.000 0.500 0.250